## CaAcBi (PBE)

Data for a relaxed CaAcBi crystal.

Lattice parameters (Å, degrees): 4.626 4.626 13.958 90.00 90.00 120.00
Atoms (fractional coordinates):
Ca 0.000 0.000 0.221
Ca 0.000 0.000 0.779
Ac 0.000 0.000 0.500
Ac 0.667 0.333 0.000
Bi 0.667 0.333 0.343
Bi 0.667 0.333 0.657

Summary:
- M_tot: 0.0 μB per formula unit
- V: 258.68 Å³/cell
- Excess energy over the best structure of this formula in the dataset: 0.566 eV/f.u.
- DOS(E_F): 5.0 states/eV per cell
- Density: 6112 kg/m3
- Energy of formation from the pure elements: -9.2 kcal/mol of atoms